Record 1
Density functional theory data (GGA+U) for a relaxed structure of CoOF2.

a = 3.1839 Å, b = 5.5413 Å, c = 7.0729 Å
α = 73.46°, β = 87.93°, γ = 89.98°
With the nearest neighbours (Å) after each atom.
Fractional positions:
1 Co 0.0000 0.0000 0.0000  6 F 2.06-2.08
2 Co 0.4996 0.4936 0.0070  6 F 2.06-2.08
3 O 0.0176 0.6016 0.5196  2 O 2.13-2.14
4 O 0.5192 0.8667 0.4870  2 O 2.13-2.14
5 F 0.0108 0.7127 0.8644  3 Co 2.08
6 F 0.4884 0.7811 0.1427  3 Co 2.08
7 F 0.5110 0.2163 0.8613  3 Co 2.06-2.08
8 F 0.9886 0.2773 0.1458  3 Co 2.06-2.08

Properties
Total DFT energy (no corrections) ... -4.38 eV/atom
SG ... P1 (1)

---

Record 2
Density functional theory data (GGA+U) for a relaxed structure of Co2OF3.

a = 4.7133 Å, b = 5.6572 Å, c = 13.1377 Å
α = 77.75°, β = 89.45°, γ = 89.91°
With the nearest neighbours (Å) after each atom.
Fractional positions:
1 Co 0.0000 0.0000 0.0000  4 F 1.99-2.15, 2 O 2.02-2.19
2 Co 0.9996 0.2210 0.1951  1 O 1.93, 5 F 1.98-2.09
3 Co 0.0048 0.6088 0.5942  4 F 2.04-2.09, 2 O 2.07-2.09
4 Co 0.0231 0.8313 0.7803  1 O 1.74
5 Co 0.4212 0.6742 0.1946  2 O 1.79-1.90, 1 F 1.99
6 Co 0.4926 0.5250 0.9948  2 O 1.87-1.97, 4 F 1.94-1.97
7 Co 0.4974 0.1156 0.5944  2 O 2.03-2.05, 4 F 2.05-2.13
8 Co 0.4987 0.9041 0.3910  6 F 1.99-2.08
9 Co 0.5225 0.3073 0.8123  1 O 1.78
10 Co 0.9765 0.4024 0.4007  2 O 1.80-2.00
11 O 0.1749 0.4546 0.2624  3 Co 1.79-2.00
12 O 0.1929 0.8751 0.6599  1 Co 1.74
13 O 0.3090 0.7585 0.0529  3 Co 1.87-2.02
14 O 0.6798 0.2710 0.9371  2 Co 1.78-1.97
15 O 0.8075 0.3540 0.5267  1 Co 1.80
16 F 0.1866 0.0755 0.8551  3 Co 2.02-2.05
17 F 0.1989 0.6649 0.4499  3 Co 1.99-2.06
18 F 0.2090 0.2862 0.0552  3 Co 1.94-2.15
19 F 0.2905 0.5758 0.8628  3 Co 1.95-2.09
20 F 0.2957 0.1605 0.4541  3 Co 2.05-2.06
21 F 0.2984 0.9624 0.2477  3 Co 1.99-2.08
22 F 0.3165 0.3755 0.6713  3 Co 2.06-2.13
23 F 0.6838 0.6474 0.3223  3 Co 2.05-2.07
24 F 0.6901 0.4657 0.1264  3 Co 1.94-2.09
25 F 0.6940 0.0602 0.7412  3 Co 2.00-2.11
26 F 0.6939 0.8476 0.5335  3 Co 2.04-2.07
27 F 0.7869 0.7536 0.9274  3 Co 1.97-2.18
28 F 0.7931 0.1487 0.3323  3 Co 1.99-2.04
29 F 0.7953 0.5582 0.7384  3 Co 2.00-2.09
30 F 0.8076 0.9681 0.1378  2 Co 1.98-1.99

Properties
Total DFT energy (no corrections) ... -5.13 eV/atom
SG ... P1 (1)

---

Record 3
Density functional theory data (GGA+U) for a relaxed structure of Co2OF3.

a = 5.5821 Å, b = 5.5821 Å, c = 5.5821 Å
α = 113.55°, β = 105.64°, γ = 109.32°
With the nearest neighbours (Å) after each atom.
Fractional positions:
1 Co 0.0000 0.0000 0.5000  2 O 1.88, 4 F 2.01-2.07
2 Co 0.0000 0.5000 0.0000  2 O 1.88, 4 F 2.01-2.07
3 Co 0.4662 0.2162 0.2500  1 O 1.91, 5 F 2.06
4 Co 0.5338 0.7838 0.7500  1 O 1.91, 5 F 2.06
5 O 0.1697 0.9197 0.2500  3 Co 1.88-1.91
6 O 0.8303 0.0803 0.7500  3 Co 1.88-1.91
7 F 0.2151 0.4651 0.7500  3 Co 2.06-2.07
8 F 0.2982 0.0000 0.7982  3 Co 2.01-2.06
9 F 0.2982 0.5000 0.2982  3 Co 2.01-2.06
10 F 0.7018 0.0000 0.2018  3 Co 2.01-2.06
11 F 0.7018 0.5000 0.7018  3 Co 2.01-2.06
12 F 0.7849 0.5349 0.2500  3 Co 2.06-2.07

Properties
Total DFT energy (no corrections) ... -5.16 eV/atom
SG ... Imma (74)